1.
First-principles (PBE-GGA) data for a relaxed AsHSBr2 crystal, as listed in Alexandria via LeMat-Bulk.

The structure in POSCAR format:
```
AsHSBr2
1.0
5.399 0.000 0.000
0.000 5.399 0.000
0.000 0.000 4.844
H As S Br
1 1 1 2
direct
0.500 0.500 0.500
0.000 0.000 0.500
0.000 0.000 0.000
0.000 0.500 0.000
0.500 0.000 0.000
```

Properties
Space group: P4/mmm
Spin magnetization: 2.0 μB per formula unit


2.
First-principles (PBE-GGA) data for a relaxed ScAsHBr2 crystal, as listed in Alexandria via LeMat-Bulk.

The structure in POSCAR format:
```
ScAsHBr2
1.0
-2.627 -3.085 3.481
1.282 -4.323 -2.863
4.556 -0.584 2.921
Br Sc As H
2 1 1 1
direct
0.500 0.000 0.000
0.000 0.500 0.000
0.000 0.000 0.000
0.000 0.000 0.500
0.500 0.500 0.500
```

Properties
Space group: P4/mmm
Spin magnetization: 3.0 μB per formula unit


3.
First-principles (PBE-GGA) data for a relaxed ScAsHBr2 crystal, as listed in Alexandria via LeMat-Bulk.

The structure in POSCAR format:
```
ScAsHBr2
1.0
-4.753 0.066 -1.850
1.564 -2.584 -4.111
-0.701 -3.113 1.690
Br Sc H As
2 1 1 1
direct
0.000 0.500 0.000
0.500 0.000 0.000
0.500 0.500 0.500
0.000 0.000 0.000
0.000 0.000 0.500
```

Properties
Space group: P4/mmm
Spin magnetization: 0.3 μB per formula unit


4.
First-principles (PBE-GGA) data for a relaxed As2HSeBr crystal, as listed in Alexandria via LeMat-Bulk.

The structure in POSCAR format:
```
As2HSeBr
1.0
5.227 0.000 0.000
0.000 5.227 0.000
0.000 0.000 5.362
H Br Se As
1 1 1 2
direct
0.500 0.500 0.500
0.000 0.000 0.000
0.000 0.000 0.500
0.500 0.000 0.000
0.000 0.500 0.000
```

Properties
Space group: P4/mmm
Spin magnetization: 2.4 μB per formula unit


5.
First-principles (PBE-GGA) data for a relaxed As2HSeBr crystal, as listed in Alexandria via LeMat-Bulk.

The structure in POSCAR format:
```
As2HSeBr
1.0
-2.205 3.488 -2.956
-3.814 0.406 3.324
1.752 2.547 1.699
As Se Br H
2 1 1 1
direct
0.000 0.500 0.000
0.500 0.000 0.000
0.000 0.000 0.500
0.500 0.500 0.500
0.000 0.000 0.000
```

Properties
Space group: P4/mmm
Spin magnetization: 0.0 μB per formula unit


6.
First-principles (PBE-GGA) data for a relaxed As2HSeBr crystal, as listed in Alexandria via LeMat-Bulk.

The structure in POSCAR format:
```
As2HSeBr
1.0
5.178 0.000 0.000
0.000 5.178 0.000
0.000 0.000 5.671
Br H Se As
1 1 1 2
direct
0.000 0.000 0.500
0.500 0.500 0.500
0.000 0.000 0.000
0.500 0.000 0.000
0.000 0.500 0.000
```

Properties
Space group: P4/mmm
Spin magnetization: 3.1 μB per formula unit


Values of uncorrected energy, in order: -2.22 -3.67 -3.55 -1.99 -2.84 -2.44, all in eV per atom.
Values of energy relative to the lowest polymorph listed for this composition, in order: 69 0 122 901 50 448, all in meV/atom.